(1)
{"formula": "VCoTe2N", "functional": "GGA-PBE", "state": "relaxed", "lattice_angstrom": [[5.3324, 0.0000, 0.0000], [0.0000, 5.3324, 0.0000], [0.0000, 0.0000, 3.5871]], "species": ["V", "Co", "Te", "Te", "N"], "frac_coords": [[0.0000, 0.0000, 0.0000], [0.5000, 0.5000, 0.5000], [0.0000, 0.5000, 0.0000], [0.5000, 0.0000, 0.0000], [0.0000, 0.0000, 0.5000]]}

***

(2)
{"formula": "VCoTe2N", "functional": "GGA-PBE", "state": "relaxed", "lattice_angstrom": [[5.2533, 0.0000, 0.0000], [0.0000, 5.2533, 0.0000], [0.0000, 0.0000, 3.3939]], "species": ["V", "Co", "Te", "Te", "N"], "frac_coords": [[0.0000, 0.0000, 0.0000], [0.5000, 0.5000, 0.5000], [0.0000, 0.5000, 0.5000], [0.5000, 0.0000, 0.5000], [0.5000, 0.5000, 0.0000]]}

***

The structure with the greatest stability is (2).

***

(1)
{"formula": "CoTeWN2", "functional": "GGA-PBE", "state": "relaxed", "lattice_angstrom": [[3.8393, 0.0000, 0.0000], [0.0000, 3.8393, 0.0000], [0.0000, 0.0000, 5.0524]], "species": ["Co", "Te", "W", "N", "N"], "frac_coords": [[0.0000, 0.0000, 0.0000], [0.0000, 0.0000, 0.5000], [0.5000, 0.5000, 0.5000], [0.0000, 0.5000, 0.0000], [0.5000, 0.0000, 0.0000]]}

***

(2)
{"formula": "CoTeWN2", "functional": "GGA-PBE", "state": "relaxed", "lattice_angstrom": [[3.8785, 0.0000, 0.0000], [0.0000, 3.8785, 0.0000], [0.0000, 0.0000, 5.7851]], "species": ["Co", "Te", "W", "N", "N"], "frac_coords": [[0.0000, 0.0000, 0.0000], [0.5000, 0.5000, 0.0000], [0.5000, 0.5000, 0.5000], [0.0000, 0.5000, 0.5000], [0.5000, 0.0000, 0.5000]]}

***

The structure with the greatest stability is (2).

***

(1)
{"formula": "YCoTe2N", "functional": "GGA-PBE", "state": "relaxed", "lattice_angstrom": [[5.3800, 0.0000, 0.0000], [0.0000, 5.3800, 0.0000], [0.0000, 0.0000, 3.5462]], "species": ["Y", "Co", "Te", "Te", "N"], "frac_coords": [[0.0000, 0.0000, 0.0000], [0.5000, 0.5000, 0.5000], [0.0000, 0.5000, 0.5000], [0.5000, 0.0000, 0.5000], [0.5000, 0.5000, 0.0000]]}

***

(2)
{"formula": "YCoTe2N", "functional": "GGA-PBE", "state": "relaxed", "lattice_angstrom": [[5.9923, 0.0000, 0.0000], [0.0000, 5.9923, 0.0000], [0.0000, 0.0000, 4.0568]], "species": ["Y", "Co", "Te", "Te", "N"], "frac_coords": [[0.0000, 0.0000, 0.0000], [0.5000, 0.5000, 0.5000], [0.0000, 0.5000, 0.0000], [0.5000, 0.0000, 0.0000], [0.0000, 0.0000, 0.5000]]}

***

The structure with the greatest stability is (1).

***

(1)
{"formula": "ZrCoTe2N", "functional": "GGA-PBE", "state": "relaxed", "lattice_angstrom": [[5.2867, 0.0000, 0.0000], [0.0000, 5.2867, 0.0000], [0.0000, 0.0000, 3.4642]], "species": ["Zr", "Co", "Te", "Te", "N"], "frac_coords": [[0.0000, 0.0000, 0.0000], [0.5000, 0.5000, 0.5000], [0.0000, 0.5000, 0.5000], [0.5000, 0.0000, 0.5000], [0.5000, 0.5000, 0.0000]]}

***

(2)
{"formula": "ZrCoTe2N", "functional": "GGA-PBE", "state": "relaxed", "lattice_angstrom": [[5.7588, 0.0000, 0.0000], [0.0000, 5.7588, 0.0000], [0.0000, 0.0000, 3.9780]], "species": ["Zr", "Co", "Te", "Te", "N"], "frac_coords": [[0.0000, 0.0000, 0.0000], [0.5000, 0.5000, 0.5000], [0.0000, 0.5000, 0.0000], [0.5000, 0.0000, 0.0000], [0.0000, 0.0000, 0.5000]]}

***

The structure with the greatest stability is (1).

***

(1)
{"formula": "TiCo3N", "functional": "GGA-PBE", "state": "relaxed", "lattice_angstrom": [[4.2580, 0.0000, 0.0000], [0.0000, 4.2580, 0.0000], [0.0000, 0.0000, 4.2580]], "species": ["Ti", "Co", "Co", "Co", "N"], "frac_coords": [[0.0000, 0.0000, 0.0000], [0.0000, 0.0000, 0.5000], [0.0000, 0.5000, 0.0000], [0.5000, 0.0000, 0.0000], [0.5000, 0.5000, 0.5000]]}

***

(2)
{"formula": "TiCo3N", "functional": "GGA-PBE", "state": "relaxed", "lattice_angstrom": [[3.7779, 0.0000, 0.0000], [0.0000, 3.7779, 0.0000], [0.0000, 0.0000, 3.7779]], "species": ["Ti", "Co", "Co", "Co", "N"], "frac_coords": [[0.0000, 0.0000, 0.0000], [0.0000, 0.5000, 0.5000], [0.5000, 0.0000, 0.5000], [0.5000, 0.5000, 0.0000], [0.5000, 0.5000, 0.5000]]}

***

The structure with the greatest stability is (2).

***

(1)
{"formula": "TlCo2N", "functional": "GGA-PBE", "state": "relaxed", "lattice_angstrom": [[-2.5880, 2.5880, 4.5287], [2.5880, -2.5880, 4.5287], [2.5880, 2.5880, -4.5287]], "species": ["Tl", "Tl", "Co", "Co", "Co", "Co", "N", "N"], "frac_coords": [[0.0000, 0.0000, 0.0000], [0.7500, 0.2500, 0.5000], [0.2835, 0.6250, 0.1585], [0.3750, 0.5335, 0.6585], [0.4665, 0.1250, 0.8415], [0.8750, 0.7165, 0.3415], [0.2500, 0.7500, 0.5000], [0.5000, 0.5000, 0.0000]]}

***

(2)
{"formula": "TlCo2N", "functional": "GGA-PBE", "state": "relaxed", "lattice_angstrom": [[0.0000, 2.9916, 2.9916], [2.9916, 0.0000, 2.9916], [2.9916, 2.9916, 0.0000]], "species": ["Tl", "Co", "Co", "N"], "frac_coords": [[0.0000, 0.0000, 0.0000], [0.2500, 0.2500, 0.2500], [0.7500, 0.7500, 0.7500], [0.5000, 0.5000, 0.5000]]}

***

The structure with the greatest stability is (1).

***

(1)
{"formula": "Tl3CoN", "functional": "GGA-PBE", "state": "relaxed", "lattice_angstrom": [[4.9058, 0.0000, 0.0000], [0.0000, 4.9058, 0.0000], [0.0000, 0.0000, 4.9058]], "species": ["Tl", "Tl", "Tl", "Co", "N"], "frac_coords": [[0.0000, 0.0000, 0.5000], [0.0000, 0.5000, 0.0000], [0.5000, 0.0000, 0.0000], [0.5000, 0.5000, 0.5000], [0.0000, 0.0000, 0.0000]]}

***

(2)
{"formula": "Tl3CoN", "functional": "GGA-PBE", "state": "relaxed", "lattice_angstrom": [[5.0633, 0.0000, 0.0000], [0.0000, 5.0633, 0.0000], [0.0000, 0.0000, 5.0633]], "species": ["Tl", "Tl", "Tl", "Co", "N"], "frac_coords": [[0.0000, 0.0000, 0.5000], [0.0000, 0.5000, 0.0000], [0.5000, 0.0000, 0.0000], [0.0000, 0.0000, 0.0000], [0.5000, 0.5000, 0.5000]]}

***

The structure with the greatest stability is (2).

***

(1)
{"formula": "VCoN2", "functional": "GGA-PBE", "state": "relaxed", "lattice_angstrom": [[1.4365, 0.8293, 5.8035], [-1.4365, 0.8293, 5.8035], [0.0000, -1.6587, 5.8035]], "species": ["V", "Co", "N", "N"], "frac_coords": [[0.0000, 0.0000, 0.0000], [0.5000, 0.5000, 0.5000], [0.3961, 0.3961, 0.3961], [0.6039, 0.6039, 0.6039]]}

***

(2)
{"formula": "VCoN2", "functional": "GGA-PBE", "state": "relaxed", "lattice_angstrom": [[-2.1773, 2.1773, 4.3463], [2.1773, -2.1773, 4.3463], [2.1773, 2.1773, -4.3463]], "species": ["V", "V", "Co", "Co", "N", "N", "N", "N"], "frac_coords": [[0.0000, 0.0000, 0.0000], [0.7500, 0.2500, 0.5000], [0.2500, 0.7500, 0.5000], [0.5000, 0.5000, 0.0000], [0.1218, 0.6250, 0.9968], [0.3750, 0.3718, 0.4968], [0.6282, 0.1250, 0.0032], [0.8750, 0.8782, 0.5032]]}

***

The structure with the greatest stability is (2).

***

(1)
{"formula": "VCoN2", "functional": "GGA-PBE", "state": "relaxed", "lattice_angstrom": [[0.0000, 2.5315, 2.5315], [2.5315, 0.0000, 2.5315], [2.5315, 2.5315, 0.0000]], "species": ["V", "Co", "N", "N"], "frac_coords": [[0.0000, 0.0000, 0.0000], [0.5000, 0.5000, 0.5000], [0.2500, 0.2500, 0.2500], [0.7500, 0.7500, 0.7500]]}

***

(2)
{"formula": "VCoN2", "functional": "GGA-PBE", "state": "relaxed", "lattice_angstrom": [[2.8392, 0.0000, 0.0000], [-1.4196, 2.4588, 0.0000], [0.0000, 0.0000, 9.5768]], "species": ["V", "V", "Co", "Co", "N", "N", "N", "N"], "frac_coords": [[0.3333, 0.6667, 0.2500], [0.6667, 0.3333, 0.7500], [0.0000, 0.0000, 0.0000], [0.0000, 0.0000, 0.5000], [0.3333, 0.6667, 0.6211], [0.3333, 0.6667, 0.8789], [0.6667, 0.3333, 0.1211], [0.6667, 0.3333, 0.3789]]}

***

The structure with the greatest stability is (2).

***

(1)
{"formula": "V4Co2N", "functional": "GGA-PBE", "state": "relaxed", "lattice_angstrom": [[0.0000, 5.4117, 5.4117], [5.4117, 0.0000, 5.4117], [5.4117, 5.4117, 0.0000]], "species": ["V", "V", "V", "V", "V", "V", "V", "V", "V", "V", "V", "V", "V", "V", "V", "V", "Co", "Co", "Co", "Co", "Co", "Co", "Co", "Co", "N", "N", "N", "N"], "frac_coords": [[0.0000, 0.0000, 0.0000], [0.0000, 0.0000, 0.5000], [0.0000, 0.5000, 0.0000], [0.1913, 0.1913, 0.5587], [0.1913, 0.5587, 0.1913], [0.1913, 0.5587, 0.5587], [0.4413, 0.4413, 0.8087], [0.4413, 0.8087, 0.4413], [0.4413, 0.8087, 0.8087], [0.5000, 0.0000, 0.0000], [0.5587, 0.1913, 0.1913], [0.5587, 0.1913, 0.5587], [0.5587, 0.5587, 0.1913], [0.8087, 0.4413, 0.4413], [0.8087, 0.4413, 0.8087], [0.8087, 0.8087, 0.4413], [0.1278, 0.7907, 0.7907], [0.2093, 0.2093, 0.2093], [0.2093, 0.2093, 0.8722], [0.2093, 0.8722, 0.2093], [0.7907, 0.1278, 0.7907], [0.7907, 0.7907, 0.1278], [0.7907, 0.7907, 0.7907], [0.8722, 0.2093, 0.2093], [0.0000, 0.5000, 0.5000], [0.5000, 0.0000, 0.5000], [0.5000, 0.5000, 0.0000], [0.5000, 0.5000, 0.5000]]}

***

(2)
{"formula": "V4Co2N", "functional": "GGA-PBE", "state": "relaxed", "lattice_angstrom": [[-1.9112, 1.9112, 5.8737], [1.9112, -1.9112, 5.8737], [1.9112, 1.9112, -5.8737]], "species": ["V", "V", "V", "V", "Co", "Co", "N"], "frac_coords": [[0.0000, 0.5000, 0.5000], [0.1798, 0.1798, 0.0000], [0.5000, 0.0000, 0.5000], [0.8202, 0.8202, 0.0000], [0.3625, 0.3625, 0.0000], [0.6375, 0.6375, 0.0000], [0.0000, 0.0000, 0.0000]]}

***

The structure with the greatest stability is (1).

***

(1)
{"formula": "VCo2N2", "functional": "GGA-PBE", "state": "relaxed", "lattice_angstrom": [[-1.6465, 1.6465, 4.5685], [1.6465, -1.6465, 4.5685], [1.6465, 1.6465, -4.5685]], "species": ["V", "Co", "Co", "N", "N"], "frac_coords": [[0.0000, 0.0000, 0.0000], [0.2500, 0.7500, 0.5000], [0.7500, 0.2500, 0.5000], [0.3616, 0.3616, 0.0000], [0.6384, 0.6384, 0.0000]]}

***

(2)
{"formula": "VCo2N2", "functional": "GGA-PBE", "state": "relaxed", "lattice_angstrom": [[5.5970, 0.0000, 0.0000], [0.0000, 5.5970, 0.0000], [0.0000, 0.0000, 2.9054]], "species": ["V", "V", "Co", "Co", "Co", "Co", "N", "N", "N", "N"], "frac_coords": [[0.0000, 0.0000, 0.0000], [0.5000, 0.5000, 0.0000], [0.1544, 0.3456, 0.5000], [0.3456, 0.8456, 0.5000], [0.6544, 0.1544, 0.5000], [0.8456, 0.6544, 0.5000], [0.1846, 0.6846, 0.0000], [0.3154, 0.1846, 0.0000], [0.6846, 0.8154, 0.0000], [0.8154, 0.3154, 0.0000]]}

***

The structure with the greatest stability is (2).

***

(1)
{"formula": "V2ZnCoN", "functional": "GGA-PBE", "state": "relaxed", "lattice_angstrom": [[4.5830, 0.0000, 0.0000], [0.0000, 4.5830, 0.0000], [0.0000, 0.0000, 3.3624]], "species": ["V", "V", "Zn", "Co", "N"], "frac_coords": [[0.0000, 0.5000, 0.0000], [0.5000, 0.0000, 0.0000], [0.0000, 0.0000, 0.5000], [0.5000, 0.5000, 0.0000], [0.5000, 0.5000, 0.5000]]}

***

(2)
{"formula": "V2ZnCoN", "functional": "GGA-PBE", "state": "relaxed", "lattice_angstrom": [[3.9111, 0.0000, 0.0000], [0.0000, 3.9111, 0.0000], [0.0000, 0.0000, 3.7983]], "species": ["V", "V", "Zn", "Co", "N"], "frac_coords": [[0.0000, 0.5000, 0.0000], [0.5000, 0.0000, 0.0000], [0.0000, 0.0000, 0.5000], [0.5000, 0.5000, 0.5000], [0.5000, 0.5000, 0.0000]]}

***

The structure with the greatest stability is (2).